[1]
{
  "formula": "Li3Ag",
  "functional": "PBE-GGA",
  "state": "optimized geometry",
  "sg": "No. 59",
  "dft_energy_ry_per_atom": -0.1688,
  "relative_energy_mev_per_atom": 0,
  "lattice_angstrom": [[4.6386, 0.0000, 0.0000], [0.0000, 5.7349, 0.0000], [0.0000, 0.0000, 4.8707]],
  "species": ["Li", "Li", "Li", "Li", "Li", "Li", "Ag", "Ag"],
  "frac_coords": [[0.2500, 0.0021, 0.1766], [0.2500, 0.4979, 0.1766], [0.2500, 0.7500, 0.6549], [0.7500, 0.2500, 0.3451], [0.7500, 0.5021, 0.8234], [0.7500, 0.9979, 0.8234], [0.2500, 0.2500, 0.6845], [0.7500, 0.7500, 0.3155]]
}

[2]
{
  "formula": "YZrPO",
  "functional": "PBE-GGA",
  "state": "optimized geometry",
  "sg": "No. 129",
  "dft_energy_ry_per_atom": -0.6135,
  "relative_energy_mev_per_atom": 0,
  "lattice_angstrom": [[4.1578, 0.0000, 0.0000], [0.0000, 4.1578, 0.0000], [0.0000, 0.0000, 8.5280]],
  "species": ["Y", "Y", "Zr", "Zr", "P", "P", "O", "O"],
  "frac_coords": [[0.2500, 0.2500, 0.1152], [0.7500, 0.7500, 0.8848], [0.2500, 0.7500, 0.5000], [0.7500, 0.2500, 0.5000], [0.2500, 0.2500, 0.6865], [0.7500, 0.7500, 0.3135], [0.2500, 0.7500, 0.0000], [0.7500, 0.2500, 0.0000]]
}

[3]
{
  "formula": "Y3TaO7",
  "functional": "PBE-GGA",
  "state": "optimized geometry",
  "sg": "No. 63",
  "dft_energy_ry_per_atom": -0.6894,
  "lattice_angstrom": [[3.6990, -5.2418, 0.0000], [3.6990, 5.2418, 0.0000], [0.0000, 0.0000, 7.4777]],
  "species": ["Y", "Y", "Y", "Y", "Y", "Y", "Ta", "Ta", "O", "O", "O", "O", "O", "O", "O", "O", "O", "O", "O", "O", "O", "O"],
  "frac_coords": [[0.0000, 0.0000, 0.0000], [0.0000, 0.0000, 0.5000], [0.0353, 0.4998, 0.7500], [0.4998, 0.0353, 0.2500], [0.5002, 0.9647, 0.7500], [0.9647, 0.5002, 0.2500], [0.5000, 0.5000, 0.0000], [0.5000, 0.5000, 0.5000], [0.1295, 0.8705, 0.2500], [0.1367, 0.8633, 0.7500], [0.1773, 0.4271, 0.0326], [0.1773, 0.4271, 0.4674], [0.4271, 0.1773, 0.5326], [0.4271, 0.1773, 0.9674], [0.4334, 0.5666, 0.7500], [0.5666, 0.4334, 0.2500], [0.5729, 0.8227, 0.0326], [0.5729, 0.8227, 0.4674], [0.8227, 0.5729, 0.5326], [0.8227, 0.5729, 0.9674], [0.8633, 0.1367, 0.2500], [0.8705, 0.1295, 0.7500]]
}

[4]
{
  "formula": "BeAsPdO",
  "functional": "PBE-GGA",
  "state": "optimized geometry",
  "sg": "No. 26",
  "dft_energy_ry_per_atom": -0.4068,
  "relative_energy_mev_per_atom": 53,
  "lattice_angstrom": [[2.8572, 0.0000, 0.0000], [0.0000, 7.3996, 0.0000], [0.0000, 0.0000, 5.1856]],
  "species": ["Be", "Be", "As", "As", "Pd", "Pd", "O", "O"],
  "frac_coords": [[0.0000, 0.0725, 0.0000], [0.0000, 0.9275, 0.5000], [0.5000, 0.3519, 0.8265], [0.5000, 0.6481, 0.3265], [0.5000, 0.3251, 0.3409], [0.5000, 0.6749, 0.8409], [0.0000, 0.0544, 0.2827], [0.0000, 0.9456, 0.7827]]
}

[5]
{
  "formula": "PrGd2In3Fe3",
  "functional": "PBE-GGA",
  "state": "optimized geometry",
  "sg": "No. 38",
  "dft_energy_ry_per_atom": -0.3905,
  "lattice_angstrom": [[3.9749, 0.0000, 0.0000], [0.0000, 6.5013, 3.7866], [0.0000, -6.5013, 3.7866]],
  "species": ["Pr", "Gd", "Gd", "In", "In", "In", "Fe", "Fe", "Fe"],
  "frac_coords": [[0.0000, 0.0000, 0.0000], [0.0000, 0.1727, 0.5824], [0.0000, 0.5824, 0.1727], [0.5000, 0.3350, 0.3350], [0.5000, 0.5805, 0.8376], [0.5000, 0.8376, 0.5805], [0.0000, 0.5836, 0.5836], [0.5000, 0.2521, 0.9144], [0.5000, 0.9144, 0.2521]]
}

[6]
{
  "formula": "LaZnNO",
  "functional": "PBE-GGA",
  "state": "optimized geometry",
  "sg": "No. 26",
  "dft_energy_ry_per_atom": -0.4672,
  "relative_energy_mev_per_atom": 7,
  "lattice_angstrom": [[3.7494, 0.0000, 0.0000], [0.0000, 5.9851, 0.0000], [0.0000, 0.0000, 5.5884]],
  "species": ["La", "La", "Zn", "Zn", "N", "N", "O", "O"],
  "frac_coords": [[0.0000, 0.2251, 0.0000], [0.0000, 0.7749, 0.5000], [0.5000, 0.2838, 0.4980], [0.5000, 0.7162, 0.9980], [0.0000, 0.1641, 0.4417], [0.0000, 0.8359, 0.9417], [0.5000, 0.3975, 0.8458], [0.5000, 0.6025, 0.3458]]
}